TlTe2NCl | GGA-PBE | optimized geometry

abc: 6.004 6.004 4.090
angles: 90.00 90.00 90.00
Sites, in units of the cell vectors:
1 N 0.000 0.000 0.500
2 Tl 0.000 0.000 0.000
3 Te 0.000 0.500 0.000
4 Te 0.500 0.000 0.000
5 Cl 0.500 0.500 0.500

The calculation puts the energy relative to the lowest polymorph listed for this composition at 273 meV/atom. The total magnetization is 0.000 μB/atom. The formation energy without anion corrections comes out at 124.2 kJ/mol of atoms.


TeWN2Cl | GGA-PBE | optimized geometry

abc: 4.043 4.043 4.984
angles: 90.00 90.00 90.00
Site moments in Bohr magnetons follow the coordinates.
Sites, in units of the cell vectors:
1 N 0.000 0.500 0.000  -0.50
2 N 0.500 0.000 0.000  -0.50
3 Te 0.000 0.000 0.500  -0.08
4 W 0.500 0.500 0.500  2.18
5 Cl 0.000 0.000 0.000  0.02

The calculation puts the energy relative to the lowest polymorph listed for this composition at 2238 meV/atom. The total magnetization is 0.269 μB/atom. The formation energy without anion corrections comes out at 253.8 kJ/mol of atoms.


TeWN2Cl | GGA-PBE | optimized geometry

abc: 3.958 3.958 5.686
angles: 90.00 90.00 90.00
Site moments in Bohr magnetons follow the coordinates.
Sites, in units of the cell vectors:
1 N 0.000 0.500 0.000  0.35
2 N 0.500 0.000 0.000  0.35
3 Te 0.000 0.000 0.500  0.02
4 W 0.000 0.000 0.000  -0.19
5 Cl 0.500 0.500 0.500  0.00

The calculation puts the energy relative to the lowest polymorph listed for this composition at 0 meV/atom. The total magnetization is 0.160 μB/atom. The formation energy without anion corrections comes out at 37.9 kJ/mol of atoms.


ZnTeN2Cl | GGA-PBE | optimized geometry

abc: 3.782 3.782 8.005
angles: 90.00 90.00 90.00
Site moments in Bohr magnetons follow the coordinates.
Sites, in units of the cell vectors:
1 N 0.000 0.500 0.000  0.34
2 N 0.500 0.000 0.000  0.34
3 Zn 0.500 0.500 0.500  0.00
4 Te 0.000 0.000 0.500  0.00
5 Cl 0.000 0.000 0.000  -0.04

The calculation puts the energy relative to the lowest polymorph listed for this composition at 553 meV/atom. The total magnetization is 0.179 μB/atom. The formation energy without anion corrections comes out at 192.6 kJ/mol of atoms.


ZnTeN2Cl | GGA-PBE | optimized geometry

abc: 4.026 4.026 6.299
angles: 90.00 90.00 90.00
Site moments in Bohr magnetons follow the coordinates.
Sites, in units of the cell vectors:
1 N 0.000 0.500 0.000  1.22
2 N 0.500 0.000 0.000  1.22
3 Zn 0.000 0.000 0.000  0.04
4 Te 0.000 0.000 0.500  0.14
5 Cl 0.500 0.500 0.500  0.01

The calculation puts the energy relative to the lowest polymorph listed for this composition at 0 meV/atom. The total magnetization is 0.774 μB/atom. The formation energy without anion corrections comes out at 139.3 kJ/mol of atoms.


Th2NCl2 | GGA-PBE | optimized geometry

abc: 4.004 4.004 13.277
angles: 90.00 90.00 90.00
Sites, in units of the cell vectors:
1 Th 0.500 0.500 0.156
2 Th 0.500 0.500 0.844
3 N 0.500 0.500 0.000
4 Cl 0.500 0.500 0.650
5 Cl 0.500 0.500 0.350

The total magnetization is 0.000 μB/atom. The formation energy without anion corrections comes out at -68.5 kJ/mol of atoms.


TiN2Cl | GGA-PBE | optimized geometry

abc: 5.149 5.149 6.210
angles: 65.51 65.51 90.00
Site moments in Bohr magnetons follow the coordinates.
Sites, in units of the cell vectors:
1 N 0.749 0.125 0.250  0.21
2 N 0.001 0.625 0.250  0.21
3 N 0.375 0.251 0.750  0.22
4 N 0.875 0.999 0.750  0.21
5 Cl 0.500 0.500 0.000  0.28
6 Cl 0.250 0.750 0.500  0.26
7 Ti 0.000 0.000 0.000  0.02
8 Ti 0.750 0.250 0.500  0.02

The calculation puts the energy relative to the lowest polymorph listed for this composition at 521 meV/atom. The total magnetization is 0.238 μB/atom. The formation energy without anion corrections comes out at 40.1 kJ/mol of atoms.


TiNCl2 | GGA-PBE | optimized geometry

abc: 10.732 10.732 10.732
angles: 18.79 18.79 18.79
Site moments in Bohr magnetons follow the coordinates.
Sites, in units of the cell vectors:
1 N 0.500 0.500 0.500  1.95
2 Cl 0.931 0.931 0.931  0.01
3 Cl 0.069 0.069 0.069  0.01
4 Ti 0.000 0.000 0.000  0.01

The calculation puts the energy relative to the lowest polymorph listed for this composition at 1345 meV/atom. The total magnetization is 0.750 μB/atom. The formation energy without anion corrections comes out at 69.5 kJ/mol of atoms.


TiNCl3 | GGA-PBE | optimized geometry

abc: 4.807 4.807 4.807
angles: 90.00 90.00 90.00
Site moments in Bohr magnetons follow the coordinates.
Sites, in units of the cell vectors:
1 N 0.500 0.500 0.500  1.92
2 Ti 0.000 0.000 0.000  -0.01
3 Cl 0.000 0.500 0.000  0.01
4 Cl 0.000 0.000 0.500  0.04
5 Cl 0.500 0.000 0.000  0.02

The calculation puts the energy relative to the lowest polymorph listed for this composition at 40 meV/atom. The total magnetization is 0.593 μB/atom. The formation energy without anion corrections comes out at -9.6 kJ/mol of atoms.


TiN2Cl | GGA-PBE | optimized geometry

abc: 3.931 3.931 3.931
angles: 60.00 60.00 60.00
Site moments in Bohr magnetons follow the coordinates.
Sites, in units of the cell vectors:
1 N 0.250 0.250 0.250  0.22
2 N 0.750 0.750 0.750  0.22
3 Cl 0.000 0.000 0.000  0.14
4 Ti 0.500 0.500 0.500  0.08

The calculation puts the energy relative to the lowest polymorph listed for this composition at 1413 meV/atom. The total magnetization is 0.216 μB/atom. The formation energy without anion corrections comes out at 126.2 kJ/mol of atoms.


TiNCl3 | GGA-PBE | optimized geometry

abc: 4.467 4.467 4.467
angles: 90.00 90.00 90.00
Site moments in Bohr magnetons follow the coordinates.
Sites, in units of the cell vectors:
1 N 0.000 0.000 0.000  -0.11
2 Ti 0.500 0.500 0.500  -1.90
3 Cl 0.000 0.500 0.000  0.01
4 Cl 0.000 0.000 0.500  0.01
5 Cl 0.500 0.000 0.000  -0.01

The calculation puts the energy relative to the lowest polymorph listed for this composition at 865 meV/atom. The total magnetization is 0.467 μB/atom. The formation energy without anion corrections comes out at 70.0 kJ/mol of atoms.


TiNCl2 | GGA-PBE | optimized geometry

abc: 9.227 9.227 6.803
angles: 47.30 47.30 90.00
Site moments in Bohr magnetons follow the coordinates.
Sites, in units of the cell vectors:
1 N 0.500 0.500 0.000  0.55
2 N 0.250 0.750 0.500  0.55
3 Cl 0.793 0.125 0.250  0.11
4 Cl 0.957 0.625 0.250  0.11
5 Cl 0.375 0.207 0.750  0.10
6 Cl 0.875 0.043 0.750  0.10
7 Ti 0.000 0.000 0.000  -0.05
8 Ti 0.750 0.250 0.500  -0.05

The calculation puts the energy relative to the lowest polymorph listed for this composition at 0 meV/atom. The total magnetization is 0.250 μB/atom. The formation energy without anion corrections comes out at -60.2 kJ/mol of atoms.


Ti3NCl3 | GGA-PBE | optimized geometry

abc: 5.563 5.563 9.879
angles: 73.65 73.65 60.00
Site moments in Bohr magnetons follow the coordinates.
Sites, in units of the cell vectors:
1 Ti 0.961 0.304 0.116  0.20
2 Ti 0.618 0.961 0.116  0.20
3 Ti 0.304 0.618 0.116  0.20
4 Ti 0.696 0.382 0.884  0.20
5 Ti 0.382 0.039 0.884  0.20
6 Ti 0.039 0.696 0.884  0.20
7 N 0.667 0.667 0.000  -0.01
8 N 0.333 0.333 0.000  -0.01
9 Cl 0.233 0.902 0.294  0.00
10 Cl 0.572 0.233 0.294  0.00
11 Cl 0.902 0.572 0.294  0.00
12 Cl 0.098 0.428 0.706  0.00
13 Cl 0.428 0.767 0.706  0.00
14 Cl 0.767 0.098 0.706  0.00

The total magnetization is 0.109 μB/atom. The formation energy without anion corrections comes out at -140.7 kJ/mol of atoms.


TiNCl3 | GGA-PBE | optimized geometry

abc: 6.412 6.408 9.142
angles: 94.76 93.76 56.73
Site moments in Bohr magnetons follow the coordinates.
Sites, in units of the cell vectors:
1 Ti 0.979 0.355 0.527  0.00
2 Ti 0.389 0.945 0.527  0.00
3 N 0.520 0.484 0.977  1.94
4 N 0.849 0.816 0.077  1.94
5 Cl 0.271 0.227 0.330  0.00
6 Cl 0.097 0.073 0.725  0.00
7 Cl 0.351 0.324 0.642  0.01
8 Cl 0.640 0.596 0.354  0.01
9 Cl 0.017 0.976 0.413  0.01
10 Cl 0.728 0.703 0.701  0.01

The calculation puts the energy relative to the lowest polymorph listed for this composition at 0 meV/atom. The total magnetization is 0.598 μB/atom. The formation energy without anion corrections comes out at -13.4 kJ/mol of atoms.


TiNCl2 | GGA-PBE | optimized geometry

abc: 9.200 9.200 9.200
angles: 20.03 20.03 20.03
Site moments in Bohr magnetons follow the coordinates.
Sites, in units of the cell vectors:
1 N 0.000 0.000 0.000  -0.01
2 Cl 0.893 0.893 0.893  0.01
3 Cl 0.107 0.107 0.107  0.01
4 Ti 0.500 0.500 0.500  0.13

The calculation puts the energy relative to the lowest polymorph listed for this composition at 1160 meV/atom. The total magnetization is 0.051 μB/atom. The formation energy without anion corrections comes out at 51.8 kJ/mol of atoms.


TiNCl2 | GGA-PBE | optimized geometry

abc: 4.439 4.439 4.439
angles: 60.00 60.00 60.00
Site moments in Bohr magnetons follow the coordinates.
Sites, in units of the cell vectors:
1 N 0.000 0.000 0.000  1.52
2 Cl 0.250 0.250 0.250  0.13
3 Cl 0.750 0.750 0.750  0.13
4 Ti 0.500 0.500 0.500  -1.27

The calculation puts the energy relative to the lowest polymorph listed for this composition at 1049 meV/atom. The total magnetization is 0.250 μB/atom. The formation energy without anion corrections comes out at 41.0 kJ/mol of atoms.


Ti4NCl5 | GGA-PBE | optimized geometry

abc: 3.372 6.945 8.872
angles: 103.04 100.95 90.00
Sites, in units of the cell vectors:
1 Ti 0.613 0.062 0.226
2 Ti 0.999 0.193 0.999
3 Ti 0.387 0.938 0.774
4 Ti 0.001 0.807 0.001
5 N 0.500 0.000 0.000
6 Cl 0.148 0.327 0.296
7 Cl 0.150 0.841 0.299
8 Cl 0.850 0.159 0.701
9 Cl 0.500 0.500 0.000
10 Cl 0.852 0.673 0.704

The total magnetization is 0.000 μB/atom. The formation energy without anion corrections comes out at -134.5 kJ/mol of atoms.


TiN2Cl4 | GGA-PBE | optimized geometry

abc: 4.702 4.702 12.019
angles: 78.72 78.72 60.00
Site moments in Bohr magnetons follow the coordinates.
Sites, in units of the cell vectors:
1 Ti 0.000 0.000 0.000  0.03
2 N 0.207 0.207 0.379  1.96
3 N 0.793 0.793 0.621  1.96
4 Cl 0.333 0.333 0.000  0.00
5 Cl 0.063 0.063 0.811  0.01
6 Cl 0.667 0.667 0.000  0.00
7 Cl 0.937 0.937 0.189  0.01

The total magnetization is 0.868 μB/atom. The formation energy without anion corrections comes out at 59.3 kJ/mol of atoms.


TiN2Cl | GGA-PBE | optimized geometry

abc: 6.583 6.583 6.583
angles: 27.23 27.23 27.23
Sites, in units of the cell vectors:
1 N 0.897 0.897 0.897
2 N 0.103 0.103 0.103
3 Cl 0.500 0.500 0.500
4 Ti 0.000 0.000 0.000

The calculation puts the energy relative to the lowest polymorph listed for this composition at 1812 meV/atom. The total magnetization is 0.000 μB/atom. The formation energy without anion corrections comes out at 164.7 kJ/mol of atoms.


TiN2Cl | GGA-PBE | optimized geometry

abc: 6.192 6.192 6.192
angles: 29.20 29.20 29.20
Sites, in units of the cell vectors:
1 N 0.892 0.892 0.892
2 N 0.108 0.108 0.108
3 Cl 0.000 0.000 0.000
4 Ti 0.500 0.500 0.500

The calculation puts the energy relative to the lowest polymorph listed for this composition at 0 meV/atom. The total magnetization is 0.000 μB/atom. The formation energy without anion corrections comes out at -10.1 kJ/mol of atoms.


Ti3NCl7 | GGA-PBE | optimized geometry

abc: 6.500 6.859 6.859
angles: 120.00 90.00 90.00
Site moments in Bohr magnetons follow the coordinates.
Sites, in units of the cell vectors:
1 Ti 0.766 0.480 0.520  0.61
2 Ti 0.766 0.480 0.961  0.61
3 Ti 0.766 0.039 0.520  0.61
4 N 0.641 0.333 0.667  -0.05
5 Cl 0.999 0.169 0.831  -0.02
6 Cl 0.999 0.169 0.339  -0.02
7 Cl 0.984 0.667 0.333  0.01
8 Cl 0.565 0.829 0.171  -0.01
9 Cl 0.565 0.341 0.171  -0.01
10 Cl 0.565 0.829 0.659  -0.01
11 Cl 0.999 0.661 0.831  -0.02

The total magnetization is 0.182 μB/atom. The formation energy without anion corrections comes out at -147.6 kJ/mol of atoms.


TiN2Cl6 | GGA-PBE | optimized geometry

abc: 7.005 7.005 7.005
angles: 60.00 60.00 60.00
Site moments in Bohr magnetons follow the coordinates.
Sites, in units of the cell vectors:
1 Ti 0.500 0.500 0.500  0.12
2 N 0.750 0.750 0.750  1.89
3 N 0.250 0.250 0.250  1.89
4 Cl 0.265 0.735 0.735  -0.24
5 Cl 0.265 0.265 0.735  -0.24
6 Cl 0.265 0.735 0.265  -0.24
7 Cl 0.735 0.265 0.265  -0.24
8 Cl 0.735 0.735 0.265  -0.24
9 Cl 0.735 0.265 0.735  -0.24

The total magnetization is 0.437 μB/atom. The formation energy without anion corrections comes out at 48.0 kJ/mol of atoms.


Ti2NCl2 | GGA-PBE | optimized geometry

abc: 3.238 3.238 9.548
angles: 80.24 80.24 60.00
Sites, in units of the cell vectors:
1 Ti 0.630 0.630 0.109
2 Ti 0.370 0.370 0.891
3 N 0.000 0.000 0.000
4 Cl 0.237 0.237 0.288
5 Cl 0.763 0.763 0.712

The total magnetization is 0.000 μB/atom. The formation energy without anion corrections comes out at -158.6 kJ/mol of atoms.


TiVNCl2 | GGA-PBE | optimized geometry

abc: 4.307 5.364 4.307
angles: 90.00 90.00 90.00
Site moments in Bohr magnetons follow the coordinates.
Sites, in units of the cell vectors:
1 Cl 0.000 0.000 0.500  0.00
2 Cl 0.500 0.000 0.000  -0.01
3 N 0.500 0.500 0.500  1.04
4 Ti 0.000 0.500 0.000  -1.14
5 V 0.000 0.000 0.000  0.35

The total magnetization is 0.109 μB/atom. The formation energy without anion corrections comes out at 79.4 kJ/mol of atoms.


TlN2Cl8 | GGA-PBE | optimized geometry

abc: 6.100 4.450 14.010
angles: 88.39 85.34 79.58
Sites, in units of the cell vectors:
1 Tl 0.000 0.000 0.000
2 N 0.307 0.892 0.690
3 N 0.693 0.108 0.310
4 Cl 0.689 0.641 0.002
5 Cl 0.296 0.656 0.797
6 Cl 0.593 0.864 0.650
7 Cl 0.407 0.136 0.350
8 Cl 0.704 0.344 0.203
9 Cl 0.311 0.359 0.998
10 Cl 0.173 0.730 0.600
11 Cl 0.827 0.270 0.400

The total magnetization is 0.000 μB/atom. The formation energy without anion corrections comes out at 20.3 kJ/mol of atoms.


TlNCl3 | GGA-PBE | optimized geometry

abc: 4.661 4.661 4.661
angles: 90.00 90.00 90.00
Sites, in units of the cell vectors:
1 Tl 0.500 0.500 0.500
2 N 0.000 0.000 0.000
3 Cl 0.000 0.500 0.000
4 Cl 0.000 0.000 0.500
5 Cl 0.500 0.000 0.000

The calculation puts the energy relative to the lowest polymorph listed for this composition at 0 meV/atom. The total magnetization is 0.000 μB/atom. The formation energy without anion corrections comes out at 45.5 kJ/mol of atoms.


TlN3Cl | GGA-PBE | optimized geometry

abc: 3.927 3.927 3.927
angles: 90.00 90.00 90.00
Sites, in units of the cell vectors:
1 Tl 0.500 0.500 0.500
2 N 0.000 0.500 0.000
3 N 0.000 0.000 0.500
4 N 0.500 0.000 0.000
5 Cl 0.000 0.000 0.000

The total magnetization is 0.000 μB/atom. The formation energy without anion corrections comes out at 250.0 kJ/mol of atoms.